(1)
The following is a GGA-PBE calculation of crystalline LuFeOs2 at its relaxed geometry, from OQMD via LeMat-Bulk.

Lattice parameters (Å, degrees): 4.460 4.460 4.460 60.00 60.00 60.00
Fractional coordinates of all 4 atoms:
Lu (0.500, 0.500, 0.500)
Os (0.000, 0.000, 0.000)
Fe (0.250, 0.250, 0.250)
Os (0.750, 0.750, 0.750)

Calculated values
V in A^3/atom: 15.68
Final energy in eV per atom: -8.628
Energy relative to the elements in eV per atom: 0.1926
Symmetry: F-43m, No. 216

(2)
The following is a GGA-PBE calculation of crystalline LuFeOs2 at its relaxed geometry, from OQMD via LeMat-Bulk.

Lattice parameters (Å, degrees): 4.459 4.459 4.459 60.00 60.00 60.00
Each line ends with the local moment (μB).
Fractional coordinates of all 4 atoms:
Lu (0.250, 0.250, 0.250)  -0.12
Os (0.750, 0.750, 0.750)  0.47
Fe (0.500, 0.500, 0.500)  2.42
Os (0.000, 0.000, 0.000)  0.08

Calculated values
V in A^3/atom: 15.67
Final energy in eV per atom: -8.628
Energy relative to the elements in eV per atom: 0.1927
Symmetry: F-43m, No. 216

(3)
The following is a GGA-PBE calculation of crystalline LuFeOsPb at its relaxed geometry, from OQMD via LeMat-Bulk.

Lattice parameters (Å, degrees): 4.675 4.675 4.675 60.00 60.00 60.00
Fractional coordinates of all 4 atoms:
Os (0.250, 0.250, 0.250)
Lu (0.500, 0.500, 0.500)
Fe (0.750, 0.750, 0.750)
Pb (0.000, 0.000, 0.000)

Calculated values
V in A^3/atom: 18.07
Final energy in eV per atom: -6.645
Energy above the lowest structure with this stoichiometry in meV per atom: 0.0
Symmetry: F-43m, No. 216

(4)
The following is a GGA-PBE calculation of crystalline LuFeOsPb at its relaxed geometry, from OQMD via LeMat-Bulk.

Lattice parameters (Å, degrees): 4.692 4.692 4.692 60.00 60.00 60.00
Fractional coordinates of all 4 atoms:
Pb (0.000, 0.000, 0.000)
Os (0.500, 0.500, 0.500)
Lu (0.250, 0.250, 0.250)
Fe (0.750, 0.750, 0.750)

Calculated values
V in A^3/atom: 18.25
Final energy in eV per atom: -6.514
Energy above the lowest structure with this stoichiometry in meV per atom: 131.5
Symmetry: F-43m, No. 216

(5)
The following is a GGA-PBE calculation of crystalline LuFeSbOs at its relaxed geometry, from OQMD via LeMat-Bulk.

Lattice parameters (Å, degrees): 4.546 4.546 4.546 60.00 60.00 60.00
Fractional coordinates of all 4 atoms:
Lu (0.500, 0.500, 0.500)
Fe (0.750, 0.750, 0.750)
Sb (0.000, 0.000, 0.000)
Os (0.250, 0.250, 0.250)

Calculated values
V in A^3/atom: 16.61
Final energy in eV per atom: -7.112
Energy above the lowest structure with this stoichiometry in meV per atom: 0.0
Symmetry: F-43m, No. 216

(6)
The following is a GGA-PBE calculation of crystalline LuFeSbOs at its relaxed geometry, from OQMD via LeMat-Bulk.

Lattice parameters (Å, degrees): 4.643 4.643 4.643 60.00 60.00 60.00
Fractional coordinates of all 4 atoms:
Lu (0.250, 0.250, 0.250)
Fe (0.750, 0.750, 0.750)
Sb (0.000, 0.000, 0.000)
Os (0.500, 0.500, 0.500)

Calculated values
V in A^3/atom: 17.69
Final energy in eV per atom: -6.755
Energy above the lowest structure with this stoichiometry in meV per atom: 356.5
Symmetry: F-43m, No. 216